(1)
HfTl2ICl after structural relaxation. Source: Alexandria via LeMat-Bulk, functional PBE.

a = 5.869 Å, b = 5.453 Å, c = 5.869 Å
α = 90.00°, β = 90.00°, γ = 90.00°
Element x y z (fractional)
1 Cl 0.500 0.500 0.500
2 I 0.000 0.500 0.000
3 Hf 0.000 0.000 0.000
4 Tl 0.500 0.000 0.000
5 Tl 0.000 0.000 0.500

Properties
mass density = 6.63 g cm⁻³
total magnetization = 0.200 μB/atom
SG = P4/mmm (123)
DOS at the Fermi energy = 4.71 states/eV per cell
crystal system = tetragonal
formation energy from raw total energies = 0.003 eV per atom

(2)
Pm8InSn5 after structural relaxation. Source: Alexandria via LeMat-Bulk, functional PBE.

a = 8.262 Å, b = 8.262 Å, c = 8.262 Å
α = 109.51°, β = 109.40°, γ = 109.51°
Element x y z (fractional)
1 Pm 0.128 0.754 0.020
2 Pm 0.265 0.246 0.374
3 Pm 0.761 0.246 0.370
4 Pm 0.124 0.754 0.516
5 Pm 0.626 0.892 0.872
6 Pm 0.630 0.392 0.876
7 Pm 0.980 0.108 0.735
8 Pm 0.484 0.608 0.239
9 Sn 0.752 0.623 0.626
10 Sn 0.500 0.000 0.500
11 Sn 0.374 0.126 0.997
12 Sn 0.003 0.377 0.129
13 Sn 0.871 0.874 0.248
14 In 0.250 0.500 0.750

Properties
mass density = 7.15 g cm⁻³
total magnetization = 0.000 μB/atom
SG = I-4 (82)
DOS at the Fermi energy = 10.07 states/eV per cell
crystal system = tetragonal
energy of formation from the pure elements = -675 meV/atom

(3)
LiS after structural relaxation. Source: Alexandria via LeMat-Bulk, functional PBE.

a = 5.566 Å, b = 5.566 Å, c = 5.566 Å
α = 90.00°, β = 90.00°, γ = 90.00°
Element x y z (fractional)
1 S 0.500 0.000 0.500
2 S 0.500 0.500 0.000
3 S 0.000 0.000 0.000
4 S 0.000 0.500 0.500
5 Li 0.750 0.750 0.250
6 Li 0.250 0.250 0.250
7 Li 0.250 0.750 0.750
8 Li 0.750 0.250 0.750

Properties
mass density = 1.50 g cm⁻³
total magnetization = 0.502 μB/atom
SG = F-43m (216)
DOS at the Fermi energy = 7.50 states/eV per cell
offset from the most stable computed form = 583 meV per atom
crystal system = cubic
formation energy from raw total energies = -0.316 eV per atom

(4)
Ho6Ni2Ag after structural relaxation. Source: Alexandria via LeMat-Bulk, functional PBE.

a = 8.293 Å, b = 8.293 Å, c = 8.293 Å
α = 106.41°, β = 110.03°, γ = 112.03°
Element x y z (fractional)
1 Ho 0.805 0.236 0.041
2 Ho 0.467 0.286 0.181
3 Ho 0.308 0.983 0.675
4 Ho 0.105 0.286 0.819
5 Ho 0.692 0.017 0.325
6 Ho 0.533 0.714 0.819
7 Ho 0.195 0.764 0.959
8 Ho 0.895 0.714 0.181
9 Ho 0.308 0.633 0.325
10 Ho 0.692 0.367 0.675
11 Ho 0.195 0.236 0.431
12 Ho 0.805 0.764 0.569
13 Ni 0.500 0.621 0.121
14 Ni 0.349 0.000 0.349
15 Ni 0.500 0.379 0.879
16 Ni 0.651 0.000 0.651
17 Ag 0.000 0.000 0.000
18 Ag 0.000 0.500 0.500

Properties
mass density = 9.21 g cm⁻³
total magnetization = 0.000 μB/atom
SG = Immm (71)
DOS at the Fermi energy = 21.63 states/eV per cell
crystal system = orthorhombic
energy of formation from the pure elements = -291 meV/atom

(5)
Pr3SmPb4 after structural relaxation. Source: Alexandria via LeMat-Bulk, functional PBE.

a = 5.147 Å, b = 5.148 Å, c = 9.879 Å
α = 105.00°, β = 105.10°, γ = 90.00°
Element x y z (fractional)
1 Pr 0.750 0.250 0.500
2 Pr 0.000 0.500 0.000
3 Pr 0.250 0.750 0.500
4 Sm 0.500 0.000 0.000
5 Pb 0.124 0.124 0.248
6 Pb 0.876 0.876 0.752
7 Pb 0.376 0.376 0.752
8 Pb 0.624 0.624 0.248

Properties
mass density = 9.56 g cm⁻³
total magnetization = 0.013 μB/atom
SG = C2/m (12)
DOS at the Fermi energy = 7.86 states/eV per cell
crystal system = monoclinic
energy of formation from the pure elements = -513 meV/atom

(6)
RbErAg2F6 after structural relaxation. Source: Alexandria via LeMat-Bulk, functional PBE.

a = 6.341 Å, b = 6.331 Å, c = 6.594 Å
α = 61.18°, β = 61.11°, γ = 59.88°
Element x y z (fractional)
1 Er 0.319 0.318 0.045
2 F 0.372 0.683 0.787
3 F 0.160 0.374 0.786
4 F 0.560 0.248 0.233
5 F 0.958 0.556 0.238
6 F 0.250 0.957 0.236
7 F 0.682 0.160 0.784
8 Rb 0.807 0.807 0.579
9 Ag 0.531 0.531 0.406
10 Ag 0.024 0.027 0.923

Properties
mass density = 5.09 g cm⁻³
total magnetization = 0.000 μB/atom
SG = P1 (1)
DOS at the Fermi energy = 0.00 states/eV per cell
crystal system = triclinic
formation energy from raw total energies = -2.589 eV per atom

(7)
Y6Ho8Tm after structural relaxation. Source: Alexandria via LeMat-Bulk, functional PBE.

a = 9.017 Å, b = 9.017 Å, c = 8.592 Å
α = 58.35°, β = 58.35°, γ = 60.00°
Element x y z (fractional)
1 Ho 0.890 0.256 0.575
2 Ho 0.744 0.721 0.425
3 Ho 0.279 0.890 0.575
4 Ho 0.110 0.744 0.425
5 Ho 0.256 0.279 0.575
6 Ho 0.721 0.110 0.425
7 Ho 0.576 0.576 0.271
8 Ho 0.424 0.424 0.729
9 Y 0.226 0.541 0.123
10 Y 0.110 0.226 0.123
11 Y 0.890 0.774 0.877
12 Y 0.459 0.890 0.877
13 Y 0.541 0.110 0.123
14 Y 0.774 0.459 0.877
15 Tm 0.000 0.000 0.000

Properties
mass density = 6.98 g cm⁻³
total magnetization = 0.000 μB/atom
SG = R-3 (148)
DOS at the Fermi energy = 24.06 states/eV per cell
offset from the most stable computed form = 98 meV per atom
crystal system = trigonal
energy of formation from the pure elements = 121 meV/atom

(8)
SrInNiHg2 after structural relaxation. Source: Alexandria via LeMat-Bulk, functional PBE.

a = 5.469 Å, b = 5.469 Å, c = 6.484 Å
α = 90.00°, β = 90.00°, γ = 90.00°
Element x y z (fractional)
1 Sr 0.000 0.000 0.500
2 Ni 0.500 0.500 0.500
3 Hg 0.500 0.000 0.000
4 Hg 0.000 0.500 0.000
5 In 0.000 0.000 0.000

Properties
mass density = 5.67 g cm⁻³
total magnetization = 0.200 μB/atom
SG = P4/mmm (123)
DOS at the Fermi energy = 12.79 states/eV per cell
offset from the most stable computed form = 866 meV per atom
crystal system = tetragonal
energy of formation from the pure elements = 636 meV/atom

(9)
MgRe2NiMo after structural relaxation. Source: Alexandria via LeMat-Bulk, functional PBE.

a = 4.719 Å, b = 4.579 Å, c = 4.719 Å
α = 90.00°, β = 90.00°, γ = 90.00°
Element x y z (fractional)
1 Mo 0.000 0.000 0.000
2 Ni 0.000 0.500 0.000
3 Mg 0.500 0.500 0.500
4 Re 0.000 0.000 0.500
5 Re 0.500 0.000 0.000

Properties
mass density = 8.98 g cm⁻³
total magnetization = 0.292 μB/atom
SG = P4/mmm (123)
DOS at the Fermi energy = 4.84 states/eV per cell
crystal system = tetragonal
energy of formation from the pure elements = 1646 meV/atom

(10)
HfV4Fe after structural relaxation. Source: Alexandria via LeMat-Bulk, functional PBE.

a = 5.001 Å, b = 5.001 Å, c = 5.001 Å
α = 60.00°, β = 60.00°, γ = 60.00°
Element x y z (fractional)
1 V 0.127 0.624 0.624
2 V 0.624 0.624 0.127
3 V 0.624 0.127 0.624
4 V 0.624 0.624 0.624
5 Fe 0.000 0.000 0.000
6 Hf 0.250 0.250 0.250

Properties
mass density = 8.23 g cm⁻³
total magnetization = 0.158 μB/atom
SG = F-43m (216)
DOS at the Fermi energy = 2.88 states/eV per cell
crystal system = cubic
energy of formation from the pure elements = 111 meV/atom

(11)
CoSnAu after structural relaxation. Source: Alexandria via LeMat-Bulk, functional PBE.

a = 4.457 Å, b = 2.983 Å, c = 4.189 Å
α = 90.00°, β = 90.00°, γ = 90.00°
Element x y z (fractional)
1 Au 0.500 0.500 0.500
2 Co 0.000 0.000 0.500
3 Sn 0.000 0.500 0.000

Properties
mass density = 11.17 g cm⁻³
total magnetization = 0.157 μB/atom
SG = Pmmm (47)
DOS at the Fermi energy = 1.73 states/eV per cell
crystal system = orthorhombic
energy of formation from the pure elements = 32 meV/atom

(12)
Pu2InRu after structural relaxation. Source: Alexandria via LeMat-Bulk, functional PBE.

a = 3.236 Å, b = 3.236 Å, c = 8.623 Å
α = 90.00°, β = 90.00°, γ = 90.00°
Element x y z (fractional)
1 Pu 0.000 0.000 0.208
2 Pu 0.000 0.000 0.792
3 Ru 0.500 0.500 0.000
4 In 0.500 0.500 0.500

Properties
mass density = 12.94 g cm⁻³
total magnetization = 2.451 μB/atom
SG = P4/mmm (123)
DOS at the Fermi energy = 10.95 states/eV per cell
offset from the most stable computed form = 0 meV per atom
crystal system = tetragonal
energy of formation from the pure elements = -202 meV/atom